Entry 1:
RbTaSe2Br, optimized geometry, DFT GGA-PBE; DOS(E_F) = 0.5813 states/eV per atom; calculated total energy = -25.45 eV for the cell shown; space-group type = No. 123; V = 27.98 A^3/atom; formation energy (no corrections) = -798 meV per atom; E above lowest polymorph = 0 meV per atom
1.0
5.092 0.000 0.000
0.000 5.092 0.000
0.000 0.000 5.396
Br Ta Rb Se
1 1 1 2
direct
0.000 0.000 0.500
0.000 0.000 0.000
0.500 0.500 0.500
0.000 0.500 0.000
0.500 0.000 0.000

***

Entry 2:
YPSe, optimized geometry, DFT GGA-PBE; DOS(E_F) = 0.0810 states/eV per atom; calculated total energy = -75.08 eV for the cell shown; space-group type = No. 15; V = 23.00 A^3/atom; formation energy (no corrections) = -1137 meV per atom
1.0
5.187 0.000 0.097
0.000 14.181 0.000
-2.288 0.000 3.710
Y Se P
4 4 4
direct
0.750 0.889 0.250
0.250 0.611 0.250
0.750 0.389 0.750
0.250 0.111 0.750
0.250 0.257 0.250
0.750 0.743 0.750
0.750 0.243 0.250
0.250 0.757 0.750
0.750 0.023 0.750
0.250 0.977 0.250
0.250 0.477 0.750
0.750 0.523 0.250

***

Entry 3:
PmNd4Sm15, optimized geometry, DFT GGA-PBE; formation energy from the elements = 0.02 eV/atom; DOS(E_F) = 1.4381 states/eV per atom; calculated total energy = -94.31 eV for the cell shown; space-group type = No. 123; V = 34.13 A^3/atom
1.0
5.151 0.000 0.000
0.000 5.151 0.000
0.000 0.000 25.722
Sm Nd Pm
15 4 1
direct
0.500 0.500 0.000
0.000 0.500 0.700
0.000 0.500 0.900
0.500 0.000 0.500
0.500 0.000 0.300
0.000 0.500 0.300
0.000 0.500 0.100
0.500 0.500 0.600
0.500 0.500 0.800
0.500 0.000 0.700
0.500 0.000 0.100
0.500 0.500 0.400
0.000 0.500 0.500
0.500 0.500 0.200
0.500 0.000 0.900
0.000 0.000 0.400
0.000 0.000 0.800
0.000 0.000 0.600
0.000 0.000 0.200
0.000 0.000 0.000

***

Entry 4:
Sr2LiZn4Au3, optimized geometry, DFT GGA-PBE; formation energy from the elements = -0.47 eV/atom; DOS(E_F) = 0.4253 states/eV per atom; calculated total energy = -24.86 eV for the cell shown; space-group type = No. 115; V = 21.86 A^3/atom
1.0
-3.402 -2.871 0.149
0.508 -0.373 4.409
-7.004 8.378 1.515
Zn Sr Au Li
4 2 3 1
direct
0.500 0.000 0.628
0.500 0.500 0.000
0.000 0.000 0.000
0.000 0.500 0.372
0.500 0.000 0.246
0.000 0.500 0.754
0.500 0.000 0.865
0.000 0.500 0.135
0.000 0.000 0.500
0.500 0.500 0.500

***

Entry 5:
MnAl2Pb, optimized geometry, DFT GGA-PBE; formation energy from the elements = 0.26 eV/atom; DOS(E_F) = 0.6217 states/eV per atom; calculated total energy = -19.33 eV for the cell shown; space-group type = No. 12; V = 19.62 A^3/atom
1.0
4.724 -0.023 0.015
3.638 3.013 0.015
1.171 0.419 5.484
Pb Al Mn
1 2 1
direct
0.250 0.250 0.250
0.017 0.017 0.933
0.483 0.483 0.567
0.750 0.750 0.750

***

Entry 6:
MgTc2Sb, optimized geometry, DFT GGA-PBE; DOS(E_F) = 1.0462 states/eV per atom; calculated total energy = -25.18 eV for the cell shown; space-group type = No. 71; V = 17.09 A^3/atom; formation energy (no corrections) = 317 meV per atom; E above lowest polymorph = 270 meV per atom
1.0
-5.116 0.009 1.086
-2.958 -1.117 -4.166
3.784 -1.884 3.079
Tc Sb Mg
2 1 1
direct
0.013 0.013 0.000
0.487 0.487 0.000
0.250 0.750 0.500
0.750 0.250 0.500

***

Among the records above, which one has the highest V?
PmNd4Sm15